SrTl2Cl: optimized geometry, PBE-GGA.

Lattice parameters (Å, degrees): 6.391 6.391 4.018 90.00 90.00 123.48
Element x y z (fractional)
Sr  0.000  0.000  0.000
Tl  0.000  0.500  0.500
Tl  0.500  0.000  0.500
Cl  0.500  0.500  0.000

Values from the calculation:
magnetization: 0.0 μB/f.u.
distance to the lowest polymorph of the same formula: 227 meV per atom